Here is crystalline EuTmPdRh at its relaxed geometry from Alexandria via LeMat-Bulk. Energies are from PBE. Values from VASP.

Properties
energy	-7.51	eV/atom
calculated density	10.4	g/cm³
total magnetic moment	6.874	μB per cell

Geometry as Quantum ESPRESSO input:
```
&SYSTEM
  ibrav = 0, nat = 4, ntyp = 4
/
ATOMIC_SPECIES
Eu 151.96 Eu.upf
Tm 168.93 Tm.upf
Pd 106.42 Pd.upf
Rh 102.91 Rh.upf
CELL_PARAMETERS angstrom
0.000 3.487 3.487
3.487 0.000 3.487
3.487 3.487 0.000
ATOMIC_POSITIONS crystal
Eu 0.000 0.000 0.000
Tm 0.500 0.500 0.500
Pd 0.750 0.750 0.750
Rh 0.250 0.250 0.250
```

***

Here is crystalline Sc6Ga5Hg at its relaxed geometry from Alexandria via LeMat-Bulk. Energies are from PBE. Values from VASP.

Properties
energy	-5.01	eV/atom
calculated density	5.8	g/cm³
total magnetic moment	0.000	μB per cell

Geometry as Quantum ESPRESSO input:
```
&SYSTEM
  ibrav = 0, nat = 12, ntyp = 3
/
ATOMIC_SPECIES
Sc 44.96 Sc.upf
Ga 69.72 Ga.upf
Hg 200.59 Hg.upf
CELL_PARAMETERS angstrom
-2.399 3.377 7.208
2.399 -3.377 7.208
2.399 3.377 -7.208
ATOMIC_POSITIONS crystal
Sc 0.077 0.330 0.746
Sc 0.242 0.000 0.242
Sc 0.416 0.670 0.746
Sc 0.584 0.330 0.254
Sc 0.758 0.000 0.758
Sc 0.923 0.670 0.254
Ga 0.000 0.500 0.500
Ga 0.167 0.167 0.000
Ga 0.337 0.837 0.500
Ga 0.663 0.163 0.500
Ga 0.833 0.833 0.000
Hg 0.500 0.500 0.000
```

***

Here is crystalline Li3Hf2UTe6 at its relaxed geometry from Alexandria via LeMat-Bulk. Energies are from PBE. Values from VASP.

Properties
energy	-5.44	eV/atom
calculated density	7.3	g/cm³
E_form (uncorrected)	-790	meV/atom
total magnetic moment	3.431	μB per cell

Geometry as Quantum ESPRESSO input:
```
&SYSTEM
  ibrav = 0, nat = 12, ntyp = 4
/
ATOMIC_SPECIES
Li 6.94 Li.upf
Hf 178.49 Hf.upf
U 238.03 U.upf
Te 127.60 Te.upf
CELL_PARAMETERS angstrom
3.554 -6.164 0.000
3.554 6.164 0.000
-2.375 0.000 7.173
ATOMIC_POSITIONS crystal
Li 0.000 0.000 0.000
Li 0.342 0.658 0.000
Li 0.658 0.342 0.000
Hf 0.169 0.831 0.500
Hf 0.831 0.169 0.500
U 0.500 0.500 0.500
Te 0.064 0.415 0.247
Te 0.232 0.232 0.750
Te 0.415 0.064 0.247
Te 0.585 0.936 0.753
Te 0.768 0.768 0.250
Te 0.936 0.585 0.753
```